NaBeGeS2: relaxed, PBE-GGA.

Properties
**Formation energy without anion corrections**: 0.077 eV per atom

The structure in CIF format:
```
data_NaBeGeS2
_chemical_formula_sum 'Na1 Be1 Ge1 S2'
_space_group_name_H-M_alt 'P 4/m m m'
_space_group_IT_number 123
_space_group_name_Hall '-P 4 2'
_cell_length_a 5.031
_cell_length_b 5.031
_cell_length_c 4.193
_cell_angle_alpha 90.00
_cell_angle_beta 90.00
_cell_angle_gamma 90.00
loop_
_atom_site_label
_atom_site_fract_x
_atom_site_fract_y
_atom_site_fract_z
_atom_site_occupancy
Na1 0.000 0.000 0.000 1
Be1 0.500 0.500 0.000 1
Ge1 0.500 0.500 0.500 1
S1 0.000 0.500 0.500 1
```

=====

Bi2SI2O: relaxed, PBE-GGA.

Properties
**Formation energy without anion corrections**: -0.638 eV per atom

The structure in CIF format:
```
data_Bi2SI2O
_chemical_formula_sum 'Bi4 S2 I4 O2'
_space_group_name_H-M_alt 'P m c 21'
_space_group_IT_number 26
_cell_length_a 4.112
_cell_length_b 12.138
_cell_length_c 7.975
_cell_angle_alpha 90.00
_cell_angle_beta 90.00
_cell_angle_gamma 90.00
loop_
_space_group_symop_operation_xyz
'x,y,z'
'-x,-y,z+1/2'
'-x,y,z'
'x,-y,z+1/2'
loop_
_atom_site_label
_atom_site_fract_x
_atom_site_fract_y
_atom_site_fract_z
_atom_site_occupancy
Bi1 0.000 0.066 0.000 1
Bi2 0.500 0.208 0.348 1
S1 0.500 0.062 0.611 1
I1 0.000 0.374 0.500 1
I2 0.500 0.278 0.966 1
O1 0.000 0.117 0.266 1
```

=====

SrCoGe3: relaxed, PBE-GGA.

Properties
**DFT formation energy**: -0.09 eV/atom

The structure in CIF format:
```
data_SrCoGe3
_chemical_formula_sum 'Sr1 Co1 Ge3'
_space_group_name_H-M_alt 'P m -3 m'
_space_group_IT_number 221
_space_group_name_Hall '-P 4 2 3'
_cell_length_a 4.717
_cell_length_b 4.717
_cell_length_c 4.717
_cell_angle_alpha 90.00
_cell_angle_beta 90.00
_cell_angle_gamma 90.00
loop_
_atom_site_label
_atom_site_fract_x
_atom_site_fract_y
_atom_site_fract_z
_atom_site_occupancy
Sr1 0.000 0.000 0.000 1
Co1 0.500 0.500 0.500 1
Ge1 0.000 0.500 0.500 1
```